Entry 1:
! PBE CsCu3SnS4, optimized geometry; values from VASP
&SYSTEM
  ibrav = 0, nat = 9, ntyp = 4
/
ATOMIC_SPECIES
Cs 132.91 Cs.upf
Cu 63.55 Cu.upf
Sn 118.71 Sn.upf
S 32.06 S.upf
ATOMIC_POSITIONS crystal
Cs 0.0000 0.0000 0.0000
Cu 0.0000 0.5000 0.5000
Cu 0.5000 0.0000 0.5000
Cu 0.5000 0.5000 0.0000
Sn 0.5000 0.5000 0.5000
S 0.2821 0.2821 0.2821
S 0.2821 0.7179 0.7179
S 0.7179 0.2821 0.7179
S 0.7179 0.7179 0.2821
CELL_PARAMETERS angstrom
6.2301 0.0000 0.0000
0.0000 6.2301 0.0000
0.0000 0.0000 6.2301
! **Relative energy among the computed polymorphs**: 255.5 meV per atom

=====

Entry 2:
! PBE CsCuSnTe2S, optimized geometry; values from VASP
&SYSTEM
  ibrav = 0, nat = 12, ntyp = 5
/
ATOMIC_SPECIES
Cs 132.91 Cs.upf
Cu 63.55 Cu.upf
Sn 118.71 Sn.upf
Te 127.60 Te.upf
S 32.06 S.upf
ATOMIC_POSITIONS crystal
Cs 0.2160 0.7840 0.7500
Cs 0.7840 0.2160 0.2500
Cu 0.0360 0.9640 0.2500
Cu 0.9640 0.0360 0.7500
Sn 0.5000 0.5000 0.0000
Sn 0.5000 0.5000 0.5000
Te 0.1250 0.8750 0.0544
Te 0.1250 0.8750 0.4456
Te 0.8750 0.1250 0.5544
Te 0.8750 0.1250 0.9456
S 0.4677 0.5323 0.2500
S 0.5323 0.4677 0.7500
CELL_PARAMETERS angstrom
2.0267 -8.2735 0.0000
2.0267 8.2735 0.0000
0.0000 0.0000 11.3203
! **Energy**: -3.577 eV/atom